A geometry-optimized SrCrB3 structure. Source: Alexandria, functional GGA-PBE.

Properties
Total DFT energy (no corrections)   -5.880 eV/atom
Total magnetization   0.24 μB per formula unit
Symmetry   Pm-3m (221)
Energy relative to the elements   0.39 eV per atom

abc: 4.0654 4.0654 4.0654
angles: 90.00 90.00 90.00
Last column: nearest neighbours and their distance in Å.
Fractional coordinates of all 5 atoms:
B: 0.0000 0.5000 0.0000  2 Cr 2.03
B: 0.0000 0.0000 0.5000  2 Cr 2.03
B: 0.5000 0.0000 0.0000  2 Cr 2.03
Sr: 0.5000 0.5000 0.5000  12 B 2.87
Cr: 0.0000 0.0000 0.0000  6 B 2.03